# 1
This record from the Alexandria database describes an optimized crystal structure of Nd3Ni2P4. The functional is PBE.

Computed properties:
- Energy: -57.09 eV for the cell shown
- Space-group type: No. 12
- DFT formation energy: -1.065 eV/atom

Structure (CIF):
```
data_Nd3Ni2P4
_cell_length_a 6.180
_cell_length_b 6.180
_cell_length_c 8.385
_cell_angle_alpha 115.11
_cell_angle_beta 115.11
_cell_angle_gamma 37.95
_space_group_name_H-M_alt 'P 1'
_space_group_IT_number 1
loop_
_space_group_symop_operation_xyz
'x,y,z'
loop_
_atom_site_label
_atom_site_fract_x
_atom_site_fract_y
_atom_site_fract_z
_atom_site_occupancy
Nd1 0.000 0.000 0.000 1
Nd2 0.370 0.370 0.284 1
Nd3 0.630 0.630 0.716 1
Ni1 0.313 0.313 0.619 1
Ni2 0.687 0.687 0.381 1
P1 0.100 0.100 0.403 1
P2 0.310 0.310 0.891 1
P3 0.690 0.690 0.109 1
P4 0.900 0.900 0.597 1
```

# 2
This record from the Alexandria database describes an optimized crystal structure of Nd3Ni4P4. The functional is PBE.

Computed properties:
- Energy: -71.06 eV for the cell shown
- Space-group type: No. 71
- DFT formation energy: -1.090 eV/atom

Structure (CIF):
```
data_Nd3Ni4P4
_cell_length_a 11.885
_cell_length_b 11.885
_cell_length_c 11.885
_cell_angle_alpha 160.90
_cell_angle_beta 160.46
_cell_angle_gamma 27.46
_space_group_name_H-M_alt 'P 1'
_space_group_IT_number 1
loop_
_space_group_symop_operation_xyz
'x,y,z'
loop_
_atom_site_label
_atom_site_fract_x
_atom_site_fract_y
_atom_site_fract_z
_atom_site_occupancy
Nd1 0.000 0.000 0.000 1
Nd2 0.150 0.650 0.500 1
Nd3 0.850 0.350 0.500 1
Ni1 0.250 0.250 0.000 1
Ni2 0.404 0.904 0.500 1
Ni3 0.596 0.096 0.500 1
Ni4 0.750 0.750 0.000 1
P1 0.304 0.804 0.500 1
P2 0.448 0.448 0.000 1
P3 0.552 0.552 0.000 1
P4 0.696 0.196 0.500 1
```

# 3
This record from the Alexandria database describes an optimized crystal structure of Nd3Ni5P2. The functional is PBE.

Computed properties:
- Energy: -117.97 eV for the cell shown
- Space-group type: No. 15
- DFT formation energy: -0.495 eV/atom

Structure (CIF):
```
data_Nd3Ni5P2
_cell_length_a 8.156
_cell_length_b 8.156
_cell_length_c 5.897
_cell_angle_alpha 107.22
_cell_angle_beta 107.22
_cell_angle_gamma 76.62
_space_group_name_H-M_alt 'P 1'
_space_group_IT_number 1
loop_
_space_group_symop_operation_xyz
'x,y,z'
loop_
_atom_site_label
_atom_site_fract_x
_atom_site_fract_y
_atom_site_fract_z
_atom_site_occupancy
Nd1 0.042 0.958 0.750 1
Nd2 0.182 0.583 0.907 1
Nd3 0.417 0.818 0.593 1
Nd4 0.583 0.182 0.407 1
Nd5 0.818 0.417 0.093 1
Nd6 0.958 0.042 0.250 1
Ni1 0.229 0.510 0.394 1
Ni2 0.233 0.248 0.041 1
Ni3 0.248 0.233 0.541 1
Ni4 0.490 0.771 0.106 1
Ni5 0.499 0.501 0.250 1
Ni6 0.501 0.499 0.750 1
Ni7 0.510 0.229 0.894 1
Ni8 0.752 0.767 0.459 1
Ni9 0.767 0.752 0.959 1
Ni10 0.771 0.490 0.606 1
P1 0.006 0.295 0.694 1
P2 0.295 0.006 0.194 1
P3 0.705 0.994 0.806 1
P4 0.994 0.705 0.306 1
```

# 4
This record from the Alexandria database describes an optimized crystal structure of NdNi5P3. The functional is PBE.

Computed properties:
- Energy: -114.01 eV for the cell shown
- Space-group type: No. 63
- DFT formation energy: -0.789 eV/atom

Structure (CIF):
```
data_NdNi5P3
_cell_length_a 6.109
_cell_length_b 6.109
_cell_length_c 11.481
_cell_angle_alpha 90.00
_cell_angle_beta 90.00
_cell_angle_gamma 145.60
_space_group_name_H-M_alt 'P 1'
_space_group_IT_number 1
loop_
_space_group_symop_operation_xyz
'x,y,z'
loop_
_atom_site_label
_atom_site_fract_x
_atom_site_fract_y
_atom_site_fract_z
_atom_site_occupancy
Nd1 0.160 0.840 0.750 1
Nd2 0.840 0.160 0.250 1
Ni1 0.000 0.000 0.000 1
Ni2 0.000 0.000 0.500 1
Ni3 0.200 0.800 0.070 1
Ni4 0.200 0.800 0.430 1
Ni5 0.449 0.551 0.645 1
Ni6 0.449 0.551 0.855 1
Ni7 0.551 0.449 0.145 1
Ni8 0.551 0.449 0.355 1
Ni9 0.800 0.200 0.570 1
Ni10 0.800 0.200 0.930 1
P1 0.117 0.883 0.250 1
P2 0.382 0.618 0.040 1
P3 0.382 0.618 0.460 1
P4 0.618 0.382 0.540 1
P5 0.618 0.382 0.960 1
P6 0.883 0.117 0.750 1
```

# 5
This record from the Alexandria database describes an optimized crystal structure of NdNi6P2. The functional is PBE.

Computed properties:
- Energy: -54.86 eV for the cell shown
- Space-group type: No. 123
- DFT formation energy: -0.509 eV/atom

Structure (CIF):
```
data_NdNi6P2
_cell_length_a 3.937
_cell_length_b 3.937
_cell_length_c 7.709
_cell_angle_alpha 90.00
_cell_angle_beta 90.00
_cell_angle_gamma 90.00
_space_group_name_H-M_alt 'P 1'
_space_group_IT_number 1
loop_
_space_group_symop_operation_xyz
'x,y,z'
loop_
_atom_site_label
_atom_site_fract_x
_atom_site_fract_y
_atom_site_fract_z
_atom_site_occupancy
Nd1 0.000 0.000 0.000 1
Ni1 0.000 0.000 0.500 1
Ni2 0.000 0.500 0.304 1
Ni3 0.000 0.500 0.696 1
Ni4 0.500 0.000 0.304 1
Ni5 0.500 0.000 0.696 1
Ni6 0.500 0.500 0.500 1
P1 0.500 0.500 0.171 1
P2 0.500 0.500 0.829 1
```

# 6
This record from the Alexandria database describes an optimized crystal structure of NdNiP2. The functional is PBE.

Computed properties:
- Energy: -50.70 eV for the cell shown
- Space-group type: No. 119
- DFT formation energy: -0.995 eV/atom

Structure (CIF):
```
data_NdNiP2
_cell_length_a 3.941
_cell_length_b 3.941
_cell_length_c 9.179
_cell_angle_alpha 90.00
_cell_angle_beta 90.00
_cell_angle_gamma 90.00
_space_group_name_H-M_alt 'P 1'
_space_group_IT_number 1
loop_
_space_group_symop_operation_xyz
'x,y,z'
loop_
_atom_site_label
_atom_site_fract_x
_atom_site_fract_y
_atom_site_fract_z
_atom_site_occupancy
Nd1 0.000 0.000 0.000 1
Nd2 0.500 0.500 0.500 1
Ni1 0.000 0.500 0.750 1
Ni2 0.500 0.000 0.250 1
P1 0.000 0.000 0.372 1
P2 0.000 0.000 0.628 1
P3 0.500 0.500 0.128 1
P4 0.500 0.500 0.872 1
```

# 7
This record from the Alexandria database describes an optimized crystal structure of Nd2NiP2. The functional is PBE.

Computed properties:
- Energy: -64.06 eV for the cell shown
- Space-group type: No. 12
- DFT formation energy: -1.179 eV/atom

Structure (CIF):
```
data_Nd2NiP2
_cell_length_a 5.715
_cell_length_b 5.715
_cell_length_c 10.199
_cell_angle_alpha 109.67
_cell_angle_beta 109.67
_cell_angle_gamma 40.72
_space_group_name_H-M_alt 'P 1'
_space_group_IT_number 1
loop_
_space_group_symop_operation_xyz
'x,y,z'
loop_
_atom_site_label
_atom_site_fract_x
_atom_site_fract_y
_atom_site_fract_z
_atom_site_occupancy
Nd1 0.092 0.092 0.401 1
Nd2 0.304 0.304 0.861 1
Nd3 0.696 0.696 0.139 1
Nd4 0.908 0.908 0.599 1
Ni1 0.430 0.430 0.179 1
Ni2 0.570 0.570 0.821 1
P1 0.041 0.041 0.906 1
P2 0.349 0.349 0.358 1
P3 0.651 0.651 0.642 1
P4 0.959 0.959 0.094 1
```

# 8
This record from the Alexandria database describes an optimized crystal structure of Nd2Ni5P4. The functional is PBE.

Computed properties:
- Energy: -68.86 eV for the cell shown
- Space-group type: No. 69
- DFT formation energy: -0.798 eV/atom

Structure (CIF):
```
data_Nd2Ni5P4
_cell_length_a 8.009
_cell_length_b 6.936
_cell_length_c 5.534
_cell_angle_alpha 79.05
_cell_angle_beta 58.23
_cell_angle_gamma 42.72
_space_group_name_H-M_alt 'P 1'
_space_group_IT_number 1
loop_
_space_group_symop_operation_xyz
'x,y,z'
loop_
_atom_site_label
_atom_site_fract_x
_atom_site_fract_y
_atom_site_fract_z
_atom_site_occupancy
Nd1 0.144 0.144 0.856 1
Nd2 0.856 0.856 0.144 1
Ni1 0.000 0.000 0.500 1
Ni2 0.250 0.250 0.250 1
Ni3 0.500 0.500 0.000 1
Ni4 0.500 0.500 0.500 1
Ni5 0.750 0.750 0.750 1
P1 0.215 0.526 0.474 1
P2 0.474 0.785 0.215 1
P3 0.526 0.215 0.785 1
P4 0.785 0.474 0.526 1
```

# 9
This record from the Alexandria database describes an optimized crystal structure of Nd2Ni12P5. The functional is PBE.

Computed properties:
- Energy: -237.90 eV for the cell shown
- Space-group type: No. 11
- DFT formation energy: -0.684 eV/atom

Structure (CIF):
```
data_Nd2Ni12P5
_cell_length_a 10.859
_cell_length_b 3.680
_cell_length_c 13.146
_cell_angle_alpha 90.00
_cell_angle_beta 108.05
_cell_angle_gamma 90.00
_space_group_name_H-M_alt 'P 1'
_space_group_IT_number 1
loop_
_space_group_symop_operation_xyz
'x,y,z'
loop_
_atom_site_label
_atom_site_fract_x
_atom_site_fract_y
_atom_site_fract_z
_atom_site_occupancy
Nd1 0.220 0.250 0.183 1
Nd2 0.255 0.250 0.688 1
Nd3 0.745 0.750 0.312 1
Nd4 0.780 0.750 0.817 1
Ni1 0.061 0.750 0.296 1
Ni2 0.078 0.750 0.990 1
Ni3 0.082 0.750 0.492 1
Ni4 0.097 0.750 0.804 1
Ni5 0.201 0.250 0.419 1
Ni6 0.213 0.250 0.938 1
Ni7 0.341 0.750 0.062 1
Ni8 0.341 0.750 0.364 1
Ni9 0.429 0.250 0.515 1
Ni10 0.435 0.250 0.947 1
Ni11 0.490 0.750 0.651 1
Ni12 0.495 0.750 0.841 1
Ni13 0.505 0.250 0.159 1
Ni14 0.510 0.250 0.349 1
Ni15 0.565 0.750 0.053 1
Ni16 0.571 0.750 0.485 1
Ni17 0.659 0.250 0.636 1
Ni18 0.659 0.250 0.938 1
Ni19 0.787 0.750 0.062 1
Ni20 0.799 0.750 0.581 1
Ni21 0.903 0.250 0.196 1
Ni22 0.918 0.250 0.508 1
Ni23 0.922 0.250 0.010 1
Ni24 0.939 0.250 0.704 1
P1 0.006 0.250 0.879 1
P2 0.009 0.750 0.629 1
P3 0.300 0.750 0.517 1
P4 0.313 0.750 0.888 1
P5 0.450 0.750 0.241 1
P6 0.550 0.250 0.759 1
P7 0.687 0.250 0.112 1
P8 0.700 0.250 0.483 1
P9 0.991 0.250 0.371 1
P10 0.994 0.750 0.121 1
```

# 10
This record from the Alexandria database describes an optimized crystal structure of Nd8Ni18P11. The functional is PBE.

Computed properties:
- Energy: -471.91 eV for the cell shown
- Space-group type: No. 187
- DFT formation energy: -0.925 eV/atom

Structure (CIF):
```
data_Nd8Ni18P11
_cell_length_a 18.259
_cell_length_b 18.259
_cell_length_c 3.932
_cell_angle_alpha 90.00
_cell_angle_beta 90.00
_cell_angle_gamma 120.00
_space_group_name_H-M_alt 'P 1'
_space_group_IT_number 1
loop_
_space_group_symop_operation_xyz
'x,y,z'
loop_
_atom_site_label
_atom_site_fract_x
_atom_site_fract_y
_atom_site_fract_z
_atom_site_occupancy
Nd1 0.000 0.000 0.000 1
Nd2 0.001 0.219 0.000 1
Nd3 0.001 0.783 0.000 1
Nd4 0.046 0.523 0.500 1
Nd5 0.217 0.219 0.000 1
Nd6 0.217 0.999 0.000 1
Nd7 0.260 0.520 0.500 1
Nd8 0.260 0.740 0.500 1
Nd9 0.442 0.221 0.000 1
Nd10 0.477 0.523 0.500 1
Nd11 0.477 0.954 0.500 1
Nd12 0.480 0.740 0.500 1
Nd13 0.779 0.221 0.000 1
Nd14 0.779 0.558 0.000 1
Nd15 0.781 0.783 0.000 1
Nd16 0.781 0.999 0.000 1
Ni1 0.073 0.147 0.500 1
Ni2 0.073 0.927 0.500 1
Ni3 0.076 0.371 0.500 1
Ni4 0.076 0.706 0.500 1
Ni5 0.184 0.368 0.000 1
Ni6 0.184 0.816 0.000 1
Ni7 0.188 0.594 0.000 1
Ni8 0.291 0.145 0.500 1
Ni9 0.294 0.371 0.500 1
Ni10 0.294 0.924 0.500 1
Ni11 0.400 0.030 0.000 1
Ni12 0.400 0.370 0.000 1
Ni13 0.406 0.594 0.000 1
Ni14 0.406 0.812 0.000 1
Ni15 0.499 0.129 0.500 1
Ni16 0.499 0.369 0.500 1
Ni17 0.580 0.290 0.500 1
Ni18 0.616 0.232 0.000 1
Ni19 0.616 0.384 0.000 1
Ni20 0.629 0.706 0.500 1
Ni21 0.629 0.924 0.500 1
Ni22 0.630 0.030 0.000 1
Ni23 0.630 0.600 0.000 1
Ni24 0.631 0.129 0.500 1
Ni25 0.631 0.501 0.500 1
Ni26 0.632 0.816 0.000 1
Ni27 0.710 0.290 0.500 1
Ni28 0.710 0.420 0.500 1
Ni29 0.768 0.384 0.000 1
Ni30 0.853 0.927 0.500 1
Ni31 0.855 0.145 0.500 1
Ni32 0.855 0.709 0.500 1
Ni33 0.871 0.369 0.500 1
Ni34 0.871 0.501 0.500 1
Ni35 0.970 0.370 0.000 1
Ni36 0.970 0.600 0.000 1
P1 0.118 0.450 0.000 1
P2 0.118 0.668 0.000 1
P3 0.145 0.072 0.500 1
P4 0.146 0.291 0.500 1
P5 0.146 0.854 0.500 1
P6 0.332 0.450 0.000 1
P7 0.332 0.882 0.000 1
P8 0.333 0.667 0.000 1
P9 0.359 0.071 0.500 1
P10 0.359 0.288 0.500 1
P11 0.548 0.096 0.000 1
P12 0.548 0.452 0.000 1
P13 0.550 0.668 0.000 1
P14 0.550 0.882 0.000 1
P15 0.709 0.854 0.500 1
P16 0.712 0.071 0.500 1
P17 0.712 0.641 0.500 1
P18 0.904 0.452 0.000 1
P19 0.928 0.072 0.500 1
P20 0.928 0.855 0.500 1
P21 0.929 0.288 0.500 1
P22 0.929 0.641 0.500 1
```

# 11
This record from the Alexandria database describes an optimized crystal structure of NdNiP2. The functional is PBE.

Computed properties:
- Energy: -50.33 eV for the cell shown
- Space-group type: No. 42
- DFT formation energy: -0.950 eV/atom

Structure (CIF):
```
data_NdNiP2
_cell_length_a 10.163
_cell_length_b 3.823
_cell_length_c 10.159
_cell_angle_alpha 79.21
_cell_angle_beta 21.69
_cell_angle_gamma 79.10
_space_group_name_H-M_alt 'P 1'
_space_group_IT_number 1
loop_
_space_group_symop_operation_xyz
'x,y,z'
loop_
_atom_site_label
_atom_site_fract_x
_atom_site_fract_y
_atom_site_fract_z
_atom_site_occupancy
Nd1 0.118 0.882 0.118 1
Nd2 0.882 0.118 0.882 1
Ni1 0.251 0.251 0.249 1
Ni2 0.751 0.751 0.749 1
P1 0.075 0.493 0.925 1
P2 0.313 0.687 0.313 1
P3 0.493 0.075 0.507 1
P4 0.687 0.313 0.687 1
```

# 12
This record from the Alexandria database describes an optimized crystal structure of NdNi6P4. The functional is PBE.

Computed properties:
- Energy: -68.25 eV for the cell shown
- Space-group type: No. 187
- DFT formation energy: -0.651 eV/atom

Structure (CIF):
```
data_NdNi6P4
_cell_length_a 6.624
_cell_length_b 6.624
_cell_length_c 3.684
_cell_angle_alpha 90.00
_cell_angle_beta 90.00
_cell_angle_gamma 120.00
_space_group_name_H-M_alt 'P 1'
_space_group_IT_number 1
loop_
_space_group_symop_operation_xyz
'x,y,z'
loop_
_atom_site_label
_atom_site_fract_x
_atom_site_fract_y
_atom_site_fract_z
_atom_site_occupancy
Nd1 0.000 0.000 0.000 1
Ni1 0.205 0.409 0.500 1
Ni2 0.205 0.795 0.500 1
Ni3 0.537 0.073 0.000 1
Ni4 0.537 0.463 0.000 1
Ni5 0.591 0.795 0.500 1
Ni6 0.927 0.463 0.000 1
P1 0.333 0.667 0.000 1
P2 0.385 0.193 0.500 1
P3 0.807 0.193 0.500 1
P4 0.807 0.615 0.500 1
```